No. 1
! LiBeOs2Ru | Alexandria via LeMat-Bulk | PBE | optimized geometry; values from VASP
&SYSTEM
  ibrav = 0, nat = 5, ntyp = 4
/
ATOMIC_SPECIES
Li 6.94 Li.upf
Ru 101.07 Ru.upf
Os 190.23 Os.upf
Be 9.01 Be.upf
CELL_PARAMETERS angstrom
-0.5992 -0.7351 4.5885
-2.1005 -3.6111 -0.8528
4.0332 -2.3803 0.1453
ATOMIC_POSITIONS angstrom
Li 0.6668 -3.3633 1.9405
Ru 0.0000 0.0000 0.0000
Os 2.0166 -1.1902 0.0727
Os -0.2996 -0.3676 2.2942
Be -1.0502 -1.8055 -0.4264
! - DFT total energy: -29.90 eV per formula unit
! - Symmetry: P4/mmm (123)

No. 2
! LiBeTcOs | Alexandria via LeMat-Bulk | PBE | optimized geometry; values from VASP
&SYSTEM
  ibrav = 0, nat = 4, ntyp = 4
/
ATOMIC_SPECIES
Li 6.94 Li.upf
Os 190.23 Os.upf
Tc 98.00 Tc.upf
Be 9.01 Be.upf
CELL_PARAMETERS angstrom
4.1196 0.0000 0.0000
2.0598 3.5677 0.0000
2.0598 1.1892 3.3637
ATOMIC_POSITIONS angstrom
Li 0.0000 0.0000 0.0000
Os 4.1196 2.3785 1.6818
Tc 6.1794 3.5677 2.5227
Be 2.0598 1.1892 0.8409
! - DFT total energy: -27.45 eV per formula unit
! - Symmetry: F-43m (216)

No. 3
! LiBeTe2Os | Alexandria via LeMat-Bulk | PBE | optimized geometry; values from VASP
&SYSTEM
  ibrav = 0, nat = 5, ntyp = 4
/
ATOMIC_SPECIES
Os 190.23 Os.upf
Li 6.94 Li.upf
Te 127.60 Te.upf
Be 9.01 Be.upf
CELL_PARAMETERS angstrom
5.3014 0.0000 0.0000
0.0000 4.2960 0.0000
0.0000 0.0000 5.3014
ATOMIC_POSITIONS angstrom
Os 0.0000 0.0000 0.0000
Li 2.6507 2.1480 2.6507
Te 0.0000 0.0000 2.6507
Te 2.6507 0.0000 0.0000
Be 0.0000 2.1480 0.0000
! - DFT total energy: -21.22 eV per formula unit
! - Symmetry: P4/mmm (123)
! - Formation energy without anion corrections: 0.3868 eV per atom

No. 4
! LiBeOsW | Alexandria via LeMat-Bulk | PBE | optimized geometry; values from VASP
&SYSTEM
  ibrav = 0, nat = 4, ntyp = 4
/
ATOMIC_SPECIES
Li 6.94 Li.upf
Be 9.01 Be.upf
W 183.84 W.upf
Os 190.23 Os.upf
CELL_PARAMETERS angstrom
4.1847 0.0000 0.0000
2.0924 3.6241 0.0000
2.0924 1.2080 3.4168
ATOMIC_POSITIONS angstrom
Li 6.2771 3.6241 2.5626
Be 4.1847 2.4161 1.7084
W 0.0000 0.0000 0.0000
Os 2.0924 1.2080 0.8542
! - DFT total energy: -29.67 eV per formula unit
! - Symmetry: F-43m (216)

No. 5
! LiBe2P | Alexandria via LeMat-Bulk | PBE | optimized geometry; values from VASP
&SYSTEM
  ibrav = 0, nat = 8, ntyp = 3
/
ATOMIC_SPECIES
Be 9.01 Be.upf
P 30.97 P.upf
Li 6.94 Li.upf
CELL_PARAMETERS angstrom
-0.6654 2.2956 4.5577
-0.0770 -3.2457 1.6235
5.9214 -0.4079 -0.5346
ATOMIC_POSITIONS angstrom
Be 2.2745 -1.2870 3.6218
Be 3.0929 -2.2475 1.7404
P 0.7805 -0.6284 4.8676
Be 2.0861 0.8895 3.9062
Li 0.2307 -1.8845 2.3304
Be 2.9046 -0.0710 2.0248
Li 4.9483 0.5265 3.3162
P 4.3985 -0.7296 0.7790
! - DFT total energy: -15.65 eV per formula unit
! - Symmetry: P2_1/m (11)

No. 6
! LiBe2P | Alexandria via LeMat-Bulk | PBE | optimized geometry; values from VASP
&SYSTEM
  ibrav = 0, nat = 16, ntyp = 3
/
ATOMIC_SPECIES
Be 9.01 Be.upf
P 30.97 P.upf
Li 6.94 Li.upf
CELL_PARAMETERS angstrom
-2.0512 1.0093 2.5691
8.6087 -8.2796 10.1259
2.0225 2.7545 0.5327
ATOMIC_POSITIONS angstrom
Be 9.7007 -5.8051 10.0256
P 4.6153 -0.9142 4.0441
Li 2.1414 -1.3664 4.5482
Be 0.9790 2.1014 2.2578
Be 4.3707 -1.1606 6.2472
P 7.8941 -4.5493 10.3916
Be 7.6010 -6.6173 10.9700
Be 6.3090 -2.5431 6.0362
Be 4.2093 -3.3553 6.9805
P 6.0159 -4.6110 6.6146
Li 6.4386 -3.1495 8.6796
Li 3.1599 0.4857 2.3321
Be 4.3223 -2.9821 4.6225
Li 7.4714 -6.0108 8.3266
P 0.6859 0.0334 2.8362
Be 0.9306 0.2799 0.6330
! - DFT total energy: -15.92 eV per formula unit
! - Symmetry: Cmcm (63)

No. 7
! Li2BeP | Alexandria via LeMat-Bulk | PBE | optimized geometry; values from VASP
&SYSTEM
  ibrav = 0, nat = 4, ntyp = 3
/
ATOMIC_SPECIES
Be 9.01 Be.upf
Li 6.94 Li.upf
P 30.97 P.upf
CELL_PARAMETERS angstrom
8.5633 0.0063 0.0037
8.1534 2.6176 0.0037
8.1534 1.2798 2.2834
ATOMIC_POSITIONS angstrom
Be 18.6526 2.9278 1.7181
Li 12.5586 1.9713 1.1568
Li 24.7467 3.8844 2.2795
P 6.2175 0.9759 0.5727
! - DFT total energy: -12.51 eV per formula unit
! - Symmetry: R-3m (166)

No. 8
! LiBe2P | Alexandria via LeMat-Bulk | PBE | optimized geometry; values from VASP
&SYSTEM
  ibrav = 0, nat = 16, ntyp = 3
/
ATOMIC_SPECIES
Be 9.01 Be.upf
P 30.97 P.upf
Li 6.94 Li.upf
CELL_PARAMETERS angstrom
7.7449 0.0000 -0.0410
0.0000 3.6331 0.0000
-2.3373 0.0000 7.2790
ATOMIC_POSITIONS angstrom
Be 2.9817 1.8166 2.4553
P -0.3707 0.0000 6.6824
Be 1.8131 0.0000 6.0948
Li 0.5360 0.0000 1.3755
Be 1.5972 0.0000 3.7758
P 4.6097 1.8166 4.1951
Be 3.5945 0.0000 1.1432
Li 6.0403 1.8166 2.2230
P 0.7979 1.8166 3.0429
Be 2.6418 1.8166 7.1017
Be 2.4259 1.8166 4.7827
Be 3.8104 0.0000 3.4622
Li 4.8716 0.0000 5.8625
P 5.7783 0.0000 0.5556
Li -0.6327 1.8166 5.0150
Be 2.7658 1.8166 0.1363
! - DFT total energy: -15.75 eV per formula unit
! - Symmetry: C2/m (12)

No. 9
! LiBe2P | Alexandria via LeMat-Bulk | PBE | optimized geometry; values from VASP
&SYSTEM
  ibrav = 0, nat = 16, ntyp = 3
/
ATOMIC_SPECIES
Be 9.01 Be.upf
Li 6.94 Li.upf
P 30.97 P.upf
CELL_PARAMETERS angstrom
-0.8413 1.5728 -7.3192
2.2488 -2.6914 -0.8368
-5.3950 -5.1227 1.9774
ATOMIC_POSITIONS angstrom
Be -0.0139 -0.6146 -5.8287
Be -3.4994 -4.1778 -3.7355
Be -5.5879 -3.4150 -4.0331
Be -1.9907 0.3228 -6.3877
Li -3.7046 -5.0794 -1.3874
Be -3.5638 -3.5843 -5.8174
Li 0.6936 -1.4355 -1.2873
Be -1.9263 -0.2707 -4.3058
P -4.5832 -4.1869 1.1494
P -0.7613 -2.9713 -0.2577
P -4.0964 -2.6843 -2.3751
Be -1.7659 -2.1993 -5.4402
P -0.2745 -1.4687 -3.7822
Li -3.1283 -2.6511 0.1198
Be -3.8359 -1.8302 -4.4216
Li -2.1315 -1.1723 -1.9576
! - DFT total energy: -15.68 eV per formula unit
! - Symmetry: Cm (8)

No. 10
! LiBe2P | Alexandria via LeMat-Bulk | PBE | optimized geometry; values from VASP
&SYSTEM
  ibrav = 0, nat = 4, ntyp = 3
/
ATOMIC_SPECIES
Be 9.01 Be.upf
Li 6.94 Li.upf
P 30.97 P.upf
CELL_PARAMETERS angstrom
3.4778 0.0000 0.0000
0.0000 2.6314 0.2869
0.0000 2.0261 5.7215
ATOMIC_POSITIONS angstrom
Be 0.0000 1.9356 0.5171
Li 0.0000 2.9963 3.1071
Be 1.7389 0.5730 0.7910
P 1.7389 4.1127 4.8842
! - DFT total energy: -14.67 eV per formula unit
! - Symmetry: Pm (6)

No. 11
! Li2BeP | Alexandria via LeMat-Bulk | PBE | optimized geometry; values from VASP
&SYSTEM
  ibrav = 0, nat = 4, ntyp = 3
/
ATOMIC_SPECIES
Li 6.94 Li.upf
P 30.97 P.upf
Be 9.01 Be.upf
CELL_PARAMETERS angstrom
3.7696 0.0000 0.0000
0.0000 2.7679 -0.0027
0.0000 2.7650 4.6839
ATOMIC_POSITIONS angstrom
Li 0.0000 2.7562 2.2885
P 1.8848 1.3832 1.1703
Be 1.8848 4.1497 3.5109
Li 0.0000 2.7782 0.0494
! - DFT total energy: -13.34 eV per formula unit
! - Symmetry: P2/m (10)

No. 12
! Li4Be5P6 | Alexandria via LeMat-Bulk | PBE | optimized geometry; values from VASP
&SYSTEM
  ibrav = 0, nat = 30, ntyp = 3
/
ATOMIC_SPECIES
Li 6.94 Li.upf
Be 9.01 Be.upf
P 30.97 P.upf
CELL_PARAMETERS angstrom
3.6124 0.0000 0.0000
-1.8062 8.2758 0.0000
0.0000 0.0000 13.6292
ATOMIC_POSITIONS angstrom
Li 1.8062 8.1135 6.9103
Be 1.8062 2.2348 6.6645
P 0.0000 7.3227 11.6261
P 1.8062 6.1116 8.5564
Be 1.8062 3.4997 1.7046
P 0.0000 2.1643 1.7418
P 1.8062 0.9394 8.5441
Be 0.0000 2.2744 8.5460
P 0.0000 7.1580 5.2979
Li 0.0000 3.0567 4.2266
Be 0.0000 7.1085 9.3063
Li 0.0000 0.3903 10.3792
P 1.8062 1.1178 12.1125
Li 1.8062 5.2191 11.0412
P 1.8062 0.9531 4.8115
Be 1.8062 2.3405 10.2872
Li 1.8062 7.8855 3.5646
Li 0.0000 3.0781 12.9312
P 1.8062 4.7424 3.5071
Li 0.0000 0.1623 0.0957
P 0.0000 3.5335 10.3217
Li 1.8062 5.1977 6.1166
Be 1.8062 1.1673 2.4917
Be 0.0000 4.7761 8.5192
P 0.0000 7.3364 1.7296
P 0.0000 3.4654 6.7537
Be 0.0000 6.0411 13.4791
P 1.8062 4.8104 13.5683
Be 0.0000 5.9354 3.4726
Be 1.8062 6.0015 1.7315
! - DFT total energy: -65.09 eV per formula unit
! - Symmetry: Cmc2_1 (36)

In the order shown, the computed D(E_F) values come out to 5.595; 0.759; 4.854; 2.824; 0.459; 0.702; 1.010; 0.155; 0.069; 0.988; 0.775; 4.052 states/eV/f.u..